No. 1
CoSn2GeS, relaxed, DFT PBE-GGA; calculated volume = 22.175 Å³/atom; spin magnetization = 0.0 μB/f.u.; energy relative to the lowest polymorph listed for this composition = 0 meV per atom; mass density = 6006 kg/m3; ΔE_f (raw) = 165 meV/atom; Fermi-level density of states = 2.8 states/eV/cell
1.0
-2.6184 1.9583 -4.1485
-3.2596 -1.9751 1.1251
-1.5075 4.1442 2.9077
Sn Ge S Co
2 1 1 1
direct
0.0000 0.0000 0.5000
0.5000 0.0000 0.0000
0.5000 0.5000 0.5000
0.0000 0.5000 0.0000
0.0000 0.0000 0.0000

---

No. 2
As2IrSeCl, relaxed, DFT PBE-GGA; calculated volume = 23.762 Å³/atom; spin magnetization = 0.0 μB/f.u.; energy relative to the lowest polymorph listed for this composition = 0 meV per atom; mass density = 6380 kg/m3; ΔE_f (raw) = 536 meV/atom; Fermi-level density of states = 7.2 states/eV/cell
1.0
4.8583 0.0000 0.0000
0.0000 4.8583 0.0000
0.0000 0.0000 5.0336
Se As Cl Ir
1 2 1 1
direct
0.0000 0.0000 0.5000
0.0000 0.5000 0.0000
0.5000 0.0000 0.0000
0.5000 0.5000 0.5000
0.0000 0.0000 0.0000